Record 1
# SbAsP

A crystal of SbAsP relaxed with PBEsol (SCAN, Alexandria).

Computed properties:
Its uncorrected formation energy is 1.93 eV per formula unit. The density comes out at 5.5 Mg/m³. Its density of states at the Fermi level is 0.471 states/eV per atom.

Cell lengths 6.4915, 6.4915, 6.4915 Å; angles 90.00, 90.00, 90.00 degrees
Last column: nearest neighbours and their distance in Å.
Space group F-43m (No. 216)
Inequivalent atoms, fractional coordinates:
Sb1 0.0000 0.0000 0.0000 [4 per cell]  4 As 2.81
As1 0.2500 0.2500 0.2500 [4 per cell]  4 Sb 2.81, 4 P 2.81
P1 0.0000 0.0000 0.5000 [4 per cell]  4 As 2.81

=====

Record 2
# Sb2AsP

A crystal of Sb2AsP relaxed with PBEsol (SCAN, Alexandria).

Computed properties:
The excess energy over the best structure of this formula in the dataset is 0.10 eV per formula unit. Its uncorrected formation energy is 0.39 eV per formula unit. The density comes out at 6.1 Mg/m³. Its density of states at the Fermi level is 0.039 states/eV per atom.

Cell lengths 3.9899, 3.9899, 20.8507 Å; angles 90.00, 90.00, 120.00 degrees
Last column: nearest neighbours and their distance in Å.
Space group R3m (No. 160, hexagonal axes)
Inequivalent atoms, fractional coordinates:
Sb1 0.0000 0.0000 0.0000 [3 per cell]  3 As 2.71
Sb2 0.0000 0.0000 0.2185 [3 per cell]  3 P 2.65
As1 0.0000 0.0000 0.7354 [3 per cell]  3 Sb 2.71, 3 P 2.94
P1 0.0000 0.0000 0.4894 [3 per cell]  3 Sb 2.65, 3 As 2.94

=====

Record 3
# SbAs2P

A crystal of SbAs2P relaxed with PBEsol (SCAN, Alexandria).

Computed properties:
The excess energy over the best structure of this formula in the dataset is 0.12 eV per formula unit. Its uncorrected formation energy is 0.44 eV per formula unit. The density comes out at 5.8 Mg/m³. Its density of states at the Fermi level is 0.254 states/eV per atom.

Cell lengths 3.8968, 3.8968, 5.6608 Å; angles 90.00, 90.00, 90.00 degrees
Last column: nearest neighbours and their distance in Å.
Space group P4mm (No. 99)
Inequivalent atoms, fractional coordinates:
Sb1 0.0000 0.0000 0.0000 [1 per cell]  1 As 2.66, 4 P 2.78
As1 0.0000 0.0000 0.4691 [1 per cell]  1 Sb 2.66, 4 As 2.77
As2 0.5000 0.5000 0.5184 [1 per cell]  1 P 2.36
P1 0.5000 0.5000 0.9355 [1 per cell]  1 As 2.36

=====

Record 4
# Sb2AsP

A crystal of Sb2AsP relaxed with PBEsol (SCAN, Alexandria).

Computed properties:
The excess energy over the best structure of this formula in the dataset is 1.97 eV per formula unit. Its uncorrected formation energy is 2.26 eV per formula unit. The density comes out at 6.8 Mg/m³. Its density of states at the Fermi level is 0.620 states/eV per atom.

Cell lengths 3.6244, 5.2320, 9.0047 Å; angles 90.00, 90.00, 90.00 degrees
Last column: nearest neighbours and their distance in Å.
Space group Cmmm (No. 65)
Inequivalent atoms, fractional coordinates:
Sb1 0.0000 0.0000 0.2342 [4 per cell]  2 P 2.78, 2 As 3.00
As1 0.0000 0.5000 0.5000 [2 per cell]  4 Sb 3.00, 4 As 3.18
P1 0.0000 0.5000 0.0000 [2 per cell]  4 Sb 2.78